No. 1
DFT (PBEsol) results for a geometry-optimized Cs2As3 structure.

a b c (Å): 7.0583 7.0583 9.1497
angles (deg): 110.78 110.78 94.61
With the nearest neighbours (Å) after each atom.
Sites, in units of the cell vectors:
As  0.2929  0.2929  0.1533  2 As 2.39-2.40
As  0.8604  0.8604  0.1533  2 As 2.39-2.40
Cs  0.2500  0.7500  0.5000  8 As 3.76-3.83
As  0.1396  0.1396  0.8467  2 As 2.39-2.40
Cs  0.7500  0.2500  0.5000  8 As 3.76-3.83
Cs  0.7318  0.2682  0.0000  10 As 3.67-3.82
Cs  0.2682  0.7318  0.0000  10 As 3.67-3.82
As  0.1542  0.1542  0.3084  2 As 2.40
As  0.7071  0.7071  0.8467  2 As 2.39-2.40
As  0.8458  0.8458  0.6916  2 As 2.40

* ΔH_f (0 K): -432 meV per atom

No. 2
DFT (PBEsol) results for a geometry-optimized CrPdCCl2 structure.

a b c (Å): 3.6367 4.7122 4.7122
angles (deg): 90.00 90.00 90.00
With the nearest neighbours (Å) after each atom.
Sites, in units of the cell vectors:
C  0.5000  0.0000  0.0000  2 Cr 1.82
Cl  0.0000  0.0000  0.5000  2 Cr 2.36
Cl  0.0000  0.5000  0.0000  2 Cr 2.36
Cr  0.0000  0.0000  0.0000  2 C 1.82
Pd  0.5000  0.5000  0.5000  8 Cl 2.98, 4 C 3.33

* E_form (uncorrected): 3.741 eV per formula unit
* DOS(E_F): 6.98 states/eV/cell